This record from Alexandria describes a crystal of BaSrZnAs2 relaxed with PBEsol. The functional is SCAN.

abc: 5.6807 5.6807 6.6458
angles: 90.00 90.00 90.00
With the nearest neighbours (Å) after each atom.
Fractional coordinates of all 5 atoms:
Sr 0.0000 0.0000 0.5000  2 Ba 3.32
As 0.0000 0.5000 0.0000  2 Ba 2.84
As 0.5000 0.0000 0.0000  2 Ba 2.84
Ba 0.0000 0.0000 0.0000  4 As 2.84
Zn 0.5000 0.5000 0.5000  4 Sr 4.02, 8 As 4.37

Energy of formation from the pure elements ... 0.795 eV per atom
E_tot ... -111.75 eV per cell
Fermi-level density of states ... 0.81 states/eV/atom